K2MnInTe4 after structural relaxation, computed with GGA-PBE.

Structure (CIF):
```
data_K2MnInTe4
_space_group_name_H-M_alt 'C 1 2/c 1'
_space_group_IT_number 15
_space_group_name_Hall '-C 2yc'
_cell_length_a 12.674
_cell_length_b 12.573
_cell_length_c 9.022
_cell_angle_alpha 90.00
_cell_angle_beta 133.07
_cell_angle_gamma 90.00
loop_
_atom_site_label
_atom_site_fract_x
_atom_site_fract_y
_atom_site_fract_z
K1 0.000 0.000 0.000
K2 0.250 0.250 0.000
Mn1 0.000 0.500 0.000
In1 0.250 0.250 0.500
Te1 0.002 0.279 0.026
Te2 0.211 0.487 0.480
```

Raw formation energy (eV/atom): -0.48
Mass density (kg/m³): 4796

=====

KMnV2In after structural relaxation, computed with GGA-PBE.

Structure (CIF):
```
data_KMnV2In
_space_group_name_H-M_alt 'P 4/m m m'
_space_group_IT_number 123
_space_group_name_Hall '-P 4 2'
_cell_length_a 5.262
_cell_length_b 5.262
_cell_length_c 5.850
_cell_angle_alpha 90.00
_cell_angle_beta 90.00
_cell_angle_gamma 90.00
loop_
_atom_site_label
_atom_site_fract_x
_atom_site_fract_y
_atom_site_fract_z
K1 0.000 0.000 0.000
Mn1 0.500 0.500 0.000
V1 0.000 0.500 0.500
In1 0.000 0.000 0.500
```

ΔE_f (eV/atom): 1.6300
Mass density (kg/m³): 3185

=====

KInMo after structural relaxation, computed with GGA-PBE.

Structure (CIF):
```
data_KInMo
_space_group_name_H-M_alt 'I 4 m m'
_space_group_IT_number 107
_space_group_name_Hall 'I 4 -2'
_cell_length_a 3.849
_cell_length_b 3.849
_cell_length_c 12.634
_cell_angle_alpha 90.00
_cell_angle_beta 90.00
_cell_angle_gamma 90.00
loop_
_atom_site_label
_atom_site_fract_x
_atom_site_fract_y
_atom_site_fract_z
K1 0.000 0.000 0.000
In1 0.000 0.000 0.730
Mo1 0.000 0.000 0.268
```

Excess energy over the best structure of this formula in the dataset (eV per atom): 0.0764
ΔE_f (eV/atom): 0.8624
Mass density (kg/m³): 4434